Entry 1:
The following is a GGA-PBE calculation of a geometry-optimized LiZrH2 structure, from the Alexandria database.

E_tot	-0.3181	Ry per atom
offset from the most stable computed form	0.260	eV per atom
V	148.97	Å³ per cell
total moment	0.0	μB/f.u.

Cell lengths 5.301, 5.301, 5.301 Å; angles 90.00, 90.00, 90.00 degrees
Element x y z (fractional)
Li (0.000, 0.000, 0.000)
Li (0.000, 0.500, 0.500)
Li (0.500, 0.000, 0.500)
Li (0.500, 0.500, 0.000)
Zr (0.000, 0.000, 0.500)
Zr (0.000, 0.500, 0.000)
Zr (0.500, 0.000, 0.000)
Zr (0.500, 0.500, 0.500)
H (0.250, 0.250, 0.250)
H (0.250, 0.250, 0.750)
H (0.250, 0.750, 0.250)
H (0.250, 0.750, 0.750)
H (0.750, 0.250, 0.250)
H (0.750, 0.250, 0.750)
H (0.750, 0.750, 0.250)
H (0.750, 0.750, 0.750)


Entry 2:
The following is a GGA-PBE calculation of a geometry-optimized Nd4HOsCl2 structure, from the Alexandria database.

E_tot	-0.4045	Ry per atom
V	200.20	Å³ per cell
total moment	0.0	μB/f.u.

Cell lengths 6.646, 3.995, 7.887 Å; angles 90.00, 107.08, 90.00 degrees
Element x y z (fractional)
Nd (0.229, 0.000, 0.207)
Nd (0.253, 0.500, 0.793)
Nd (0.747, 0.500, 0.207)
Nd (0.771, 0.000, 0.793)
H (0.000, 0.500, 0.000)
Os (0.500, 0.000, 0.000)
Cl (0.000, 0.000, 0.500)
Cl (0.500, 0.500, 0.500)


Entry 3:
The following is a GGA-PBE calculation of a geometry-optimized Pa2SbRu6C structure, from the Alexandria database.

E_tot	-0.6212	Ry per atom
V	181.44	Å³ per cell
total moment	0.0	μB/f.u.
formation energy (no corrections)	0.348	eV/atom

Cell lengths 4.572, 4.572, 8.680 Å; angles 90.00, 90.00, 90.00 degrees
Element x y z (fractional)
Pa (0.000, 0.000, 0.233)
Pa (0.000, 0.000, 0.767)
Sb (0.500, 0.500, 0.500)
Ru (0.000, 0.500, 0.000)
Ru (0.000, 0.500, 0.500)
Ru (0.500, 0.000, 0.000)
Ru (0.500, 0.000, 0.500)
Ru (0.500, 0.500, 0.214)
Ru (0.500, 0.500, 0.786)
C (0.500, 0.500, 0.000)


Entry 4:
The following is a GGA-PBE calculation of a geometry-optimized MnW2Cl structure, from the Alexandria database.

E_tot	-0.6557	Ry per atom
offset from the most stable computed form	0.000	eV per atom
V	71.61	Å³ per cell
total moment	3.4	μB/f.u.
formation energy (no corrections)	0.309	eV/atom

Cell lengths 3.081, 3.203, 7.256 Å; angles 90.00, 90.00, 90.00 degrees
Element x y z (fractional)
Mn (0.000, 0.000, 0.000)
W (0.000, 0.000, 0.413)
W (0.500, 0.500, 0.215)
Cl (0.500, 0.000, 0.701)


For each record above, in turn, the calculated D(E_F) values are 0.718, 0.548, 0.473, 0.621 states/eV per atom.